(1)
Density functional theory data (GGA-PBE) for CuC after structural relaxation.

Calculated values
- Relative energy among the computed polymorphs: 0.461 eV per atom

Cell lengths 4.945, 4.945, 5.740 Å; angles 54.90, 54.90, 30.13 degrees
Sites, in units of the cell vectors:
Cu1 0.027 0.027 0.531
Cu2 0.032 0.032 0.011
Cu3 0.757 0.757 0.033
C1 0.778 0.778 0.365
C2 0.274 0.274 0.502
C3 0.299 0.299 0.725


(2)
Density functional theory data (GGA-PBE) for ErHfSn2 after structural relaxation.

Calculated values
- Relative energy among the computed polymorphs: 0.111 eV per atom

Cell lengths 3.349, 3.349, 10.235 Å; angles 80.58, 80.58, 60.00 degrees
Sites, in units of the cell vectors:
Hf1 0.000 0.000 0.000
Er1 0.500 0.500 0.500
Sn1 0.254 0.254 0.239
Sn2 0.746 0.746 0.761


(3)
Density functional theory data (GGA-PBE) for MgBeZn2 after structural relaxation.

Calculated values
- Relative energy among the computed polymorphs: 0.228 eV per atom

Cell lengths 3.990, 3.990, 9.000 Å; angles 77.19, 77.19, 90.00 degrees
Sites, in units of the cell vectors:
Zn1 0.875 0.814 0.750
Zn2 0.375 0.436 0.750
Zn3 0.186 0.625 0.250
Zn4 0.564 0.125 0.250
Be1 0.500 0.500 0.000
Be2 0.250 0.750 0.500
Mg1 0.000 0.000 0.000
Mg2 0.750 0.250 0.500


(4)
Density functional theory data (GGA-PBE) for SmCd4Au4 after structural relaxation.

Cell lengths 7.227, 7.227, 8.263 Å; angles 90.00, 90.00, 90.00 degrees
Sites, in units of the cell vectors:
Sm1 0.000 0.000 0.000
Sm2 0.500 0.500 0.500
Cd1 0.264 0.500 0.886
Cd2 0.500 0.264 0.114
Cd3 0.236 0.000 0.614
Cd4 0.000 0.764 0.386
Cd5 0.000 0.236 0.386
Cd6 0.764 0.000 0.614
Cd7 0.736 0.500 0.886
Cd8 0.500 0.736 0.114
Au1 0.000 0.289 0.729
Au2 0.000 0.711 0.729
Au3 0.500 0.211 0.771
Au4 0.789 0.500 0.229
Au5 0.211 0.500 0.229
Au6 0.500 0.789 0.771
Au7 0.289 0.000 0.271
Au8 0.711 0.000 0.271


(5)
Density functional theory data (GGA-PBE) for PuPaV2 after structural relaxation.

Calculated values
- Relative energy among the computed polymorphs: 0.038 eV per atom

Cell lengths 3.168, 3.168, 7.366 Å; angles 90.00, 90.00, 90.00 degrees
Sites, in units of the cell vectors:
V1 0.000 0.000 0.804
V2 0.000 0.000 0.196
Pa1 0.500 0.500 0.500
Pu1 0.500 0.500 0.000


(6)
Density functional theory data (GGA-PBE) for PrNdPt10 after structural relaxation.

Cell lengths 4.437, 5.442, 9.384 Å; angles 90.00, 90.00, 90.00 degrees
Sites, in units of the cell vectors:
Pt1 0.500 0.000 0.500
Pt2 0.000 0.000 0.666
Pt3 0.500 0.750 0.250
Pt4 0.000 0.000 0.334
Pt5 0.000 0.500 0.168
Pt6 0.500 0.750 0.750
Pt7 0.500 0.250 0.750
Pt8 0.500 0.500 0.000
Pt9 0.000 0.500 0.832
Pt10 0.500 0.250 0.250
Pr1 0.000 0.000 0.000
Nd1 0.000 0.500 0.500


| no. | formation energy from the elements (eV per formula unit) | raw total energy (eV per atom) |
| --- | --- | --- |
| 1 | 1.4 | -5.98 |
| 2 | -1.1 | -5.91 |
| 3 | 1.3 | -1.63 |
| 4 | -2.0 | -2.61 |
| 5 | 1.6 | -10.12 |
| 6 | -8.6 | -6.55 |